## one
The following is a PBE-GGA calculation of Co3TcOs after structural relaxation, from the Alexandria database.

Structure (CIF):
```
data_Co3TcOs
_cell_length_a 4.2916
_cell_length_b 4.2916
_cell_length_c 4.2916
_cell_angle_alpha 90.00
_cell_angle_beta 90.00
_cell_angle_gamma 90.00
_symmetry_space_group_name_H-M 'P m -3 m'
_symmetry_Int_Tables_number 221
_symmetry_space_group_name_Hall '-P 4 2 3'
loop_
_atom_site_label
_atom_site_fract_x
_atom_site_fract_y
_atom_site_fract_z
Co1 0.0000 0.0000 0.5000
Tc1 0.0000 0.0000 0.0000
Os1 0.5000 0.5000 0.5000
```

---

## two
The following is a PBE-GGA calculation of Co3TcOs after structural relaxation, from the Alexandria database.

Structure (CIF):
```
data_Co3TcOs
_cell_length_a 4.4008
_cell_length_b 4.4008
_cell_length_c 4.4008
_cell_angle_alpha 90.00
_cell_angle_beta 90.00
_cell_angle_gamma 90.00
_symmetry_space_group_name_H-M 'P m -3 m'
_symmetry_Int_Tables_number 221
_symmetry_space_group_name_Hall '-P 4 2 3'
loop_
_atom_site_label
_atom_site_fract_x
_atom_site_fract_y
_atom_site_fract_z
Co1 0.0000 0.0000 0.5000
Tc1 0.5000 0.5000 0.5000
Os1 0.0000 0.0000 0.0000
```

---

two (129 meV per atom below the next structure)

---

## one
The following is a PBE-GGA calculation of CoTcOs after structural relaxation, from the Alexandria database.

Structure (CIF):
```
data_CoTcOs
_cell_length_a 2.6858
_cell_length_b 2.6858
_cell_length_c 6.4335
_cell_angle_alpha 90.00
_cell_angle_beta 90.00
_cell_angle_gamma 120.00
_symmetry_space_group_name_H-M 'P 3 m 1'
_symmetry_Int_Tables_number 156
_symmetry_space_group_name_Hall 'P 3 -2"'
loop_
_atom_site_label
_atom_site_fract_x
_atom_site_fract_y
_atom_site_fract_z
Co1 0.0000 0.0000 0.0000
Tc1 0.3333 0.6667 0.6712
Os1 0.6667 0.3333 0.3288
```

---

## two
The following is a PBE-GGA calculation of CoTcOs after structural relaxation, from the Alexandria database.

Structure (CIF):
```
data_CoTcOs
_cell_length_a 2.7946
_cell_length_b 4.4685
_cell_length_c 13.2449
_cell_angle_alpha 90.00
_cell_angle_beta 90.00
_cell_angle_gamma 90.00
_symmetry_space_group_name_H-M 'F m m 2'
_symmetry_Int_Tables_number 42
_symmetry_space_group_name_Hall 'F 2 -2'
loop_
_atom_site_label
_atom_site_fract_x
_atom_site_fract_y
_atom_site_fract_z
Co1 0.0000 0.0000 0.0000
Tc1 0.0000 0.0000 0.6632
Os1 0.0000 0.0000 0.3358
```

---

one (282 meV per atom below the next structure)

---

## one
The following is a PBE-GGA calculation of CoTeOs after structural relaxation, from the Alexandria database.

Structure (CIF):
```
data_CoTeOs
_cell_length_a 3.1192
_cell_length_b 3.8227
_cell_length_c 7.9603
_cell_angle_alpha 90.00
_cell_angle_beta 90.00
_cell_angle_gamma 90.00
_symmetry_space_group_name_H-M 'I m m 2'
_symmetry_Int_Tables_number 44
_symmetry_space_group_name_Hall 'I 2 -2'
loop_
_atom_site_label
_atom_site_fract_x
_atom_site_fract_y
_atom_site_fract_z
Co1 0.0000 0.0000 0.0000
Te1 0.0000 0.0000 0.3196
Os1 0.0000 0.0000 0.6535
```

---

## two
The following is a PBE-GGA calculation of CoTeOs after structural relaxation, from the Alexandria database.

Structure (CIF):
```
data_CoTeOs
_cell_length_a 3.0836
_cell_length_b 3.0836
_cell_length_c 10.2440
_cell_angle_alpha 90.00
_cell_angle_beta 90.00
_cell_angle_gamma 90.00
_symmetry_space_group_name_H-M 'I 4 m m'
_symmetry_Int_Tables_number 107
_symmetry_space_group_name_Hall 'I 4 -2'
loop_
_atom_site_label
_atom_site_fract_x
_atom_site_fract_y
_atom_site_fract_z
Co1 0.0000 0.0000 0.0000
Te1 0.0000 0.0000 0.6844
Os1 0.0000 0.0000 0.3562
```

---

## three
The following is a PBE-GGA calculation of CoTeOs after structural relaxation, from the Alexandria database.

Structure (CIF):
```
data_CoTeOs
_cell_length_a 4.1915
_cell_length_b 4.1915
_cell_length_c 3.0459
_cell_angle_alpha 90.00
_cell_angle_beta 90.00
_cell_angle_gamma 120.00
_symmetry_space_group_name_H-M 'P 3 m 1'
_symmetry_Int_Tables_number 156
_symmetry_space_group_name_Hall 'P 3 -2"'
loop_
_atom_site_label
_atom_site_fract_x
_atom_site_fract_y
_atom_site_fract_z
Co1 0.0000 0.0000 0.0000
Te1 0.3333 0.6667 0.0291
Os1 0.6667 0.3333 0.5002
```

---

one (36 meV per atom below the next structure)

---

## one
The following is a PBE-GGA calculation of CoTeOs after structural relaxation, from the Alexandria database.

Structure (CIF):
```
data_CoTeOs
_cell_length_a 3.0561
_cell_length_b 5.0671
_cell_length_c 13.3455
_cell_angle_alpha 90.00
_cell_angle_beta 90.00
_cell_angle_gamma 90.00
_symmetry_space_group_name_H-M 'F m m 2'
_symmetry_Int_Tables_number 42
_symmetry_space_group_name_Hall 'F 2 -2'
loop_
_atom_site_label
_atom_site_fract_x
_atom_site_fract_y
_atom_site_fract_z
Co1 0.0000 0.0000 0.0000
Te1 0.0000 0.0000 0.6743
Os1 0.0000 0.0000 0.3605
```

---

## two
The following is a PBE-GGA calculation of CoTeOs after structural relaxation, from the Alexandria database.

Structure (CIF):
```
data_CoTeOs
_cell_length_a 6.0093
_cell_length_b 6.0093
_cell_length_c 6.0093
_cell_angle_alpha 90.00
_cell_angle_beta 90.00
_cell_angle_gamma 90.00
_symmetry_space_group_name_H-M 'F -4 3 m'
_symmetry_Int_Tables_number 216
_symmetry_space_group_name_Hall 'F -4 2 3'
loop_
_atom_site_label
_atom_site_fract_x
_atom_site_fract_y
_atom_site_fract_z
Co1 0.0000 0.0000 0.0000
Te1 0.0000 0.0000 0.5000
Os1 0.2500 0.2500 0.2500
```

---

two (503 meV per atom below the next structure)

---

## one
The following is a PBE-GGA calculation of CoTe2Os after structural relaxation, from the Alexandria database.

Structure (CIF):
```
data_CoTe2Os
_cell_length_a 3.8958
_cell_length_b 3.8958
_cell_length_c 9.5047
_cell_angle_alpha 90.00
_cell_angle_beta 90.00
_cell_angle_gamma 90.00
_symmetry_space_group_name_H-M 'I -4 m 2'
_symmetry_Int_Tables_number 119
_symmetry_space_group_name_Hall 'I -4 -2'
loop_
_atom_site_label
_atom_site_fract_x
_atom_site_fract_y
_atom_site_fract_z
Co1 0.0000 0.0000 0.0000
Te1 0.0000 0.0000 0.5000
Te2 0.0000 0.5000 0.2500
Os1 0.0000 0.5000 0.7500
```

---

## two
The following is a PBE-GGA calculation of CoTe2Os after structural relaxation, from the Alexandria database.

Structure (CIF):
```
data_CoTe2Os
_cell_length_a 3.3212
_cell_length_b 3.3212
_cell_length_c 22.6321
_cell_angle_alpha 90.00
_cell_angle_beta 90.00
_cell_angle_gamma 120.00
_symmetry_space_group_name_H-M 'R -3 m'
_symmetry_Int_Tables_number 166
_symmetry_space_group_name_Hall '-R 3 2"'
loop_
_atom_site_label
_atom_site_fract_x
_atom_site_fract_y
_atom_site_fract_z
Co1 0.0000 0.0000 0.0000
Te1 0.0000 0.0000 0.2566
Os1 0.0000 0.0000 0.5000
```

---

## three
The following is a PBE-GGA calculation of CoTe2Os after structural relaxation, from the Alexandria database.

Structure (CIF):
```
data_CoTe2Os
_cell_length_a 3.8330
_cell_length_b 3.8330
_cell_length_c 23.6641
_cell_angle_alpha 90.00
_cell_angle_beta 90.00
_cell_angle_gamma 120.00
_symmetry_space_group_name_H-M 'R -3 m'
_symmetry_Int_Tables_number 166
_symmetry_space_group_name_Hall '-R 3 2"'
loop_
_atom_site_label
_atom_site_fract_x
_atom_site_fract_y
_atom_site_fract_z
Co1 0.0000 0.0000 0.0000
Te1 0.0000 0.0000 0.1041
Os1 0.0000 0.0000 0.5000
```

---

two (102 meV per atom below the next structure)